Record 1
# Ac2CdAs3Pt4

An optimized crystal structure of Ac2CdAs3Pt4 (PBE, Alexandria via LeMat-Bulk).

Cell lengths 4.4911, 4.4911, 10.6765 Å; angles 90.00, 90.00, 90.00 degrees
Positions (direct):
Ac (0.5000, 0.0000, 0.2387)
Ac (0.0000, 0.5000, 0.7613)
Cd (0.5000, 0.5000, 0.5000)
As (0.0000, 0.0000, 0.5000)
As (0.5000, 0.0000, 0.8756)
As (0.0000, 0.5000, 0.1244)
Pt (0.5000, 0.5000, 0.0000)
Pt (0.0000, 0.0000, 0.0000)
Pt (0.5000, 0.0000, 0.6438)
Pt (0.0000, 0.5000, 0.3562)

Output
The volume comes out at 215 Å³/cell. The crystal system is tetragonal. Its symmetry is No. 115. The calculation puts the energy of formation at -843 meV/atom. The total DFT energy (no corrections) is -5.57 eV per atom.


Record 2
# AcCdAsRh

An optimized crystal structure of AcCdAsRh (PBE, Alexandria via LeMat-Bulk).

Cell lengths 5.0898, 5.0898, 5.0898 Å; angles 60.00, 60.00, 60.00 degrees
Positions (direct):
Ac (0.2500, 0.2500, 0.2500)
Rh (0.0000, 0.0000, 0.0000)
As (0.5000, 0.5000, 0.5000)
Cd (0.7500, 0.7500, 0.7500)

Output
The volume comes out at 93 Å³/cell. The crystal system is cubic. Its symmetry is No. 216. The calculation puts the energy of formation at -316 meV/atom. The total DFT energy (no corrections) is -4.57 eV per atom.


Record 3
# AcCdAsS

An optimized crystal structure of AcCdAsS (PBE, Alexandria via LeMat-Bulk).

Cell lengths 4.6895, 4.6895, 9.7955 Å; angles 90.00, 90.00, 90.00 degrees
Positions (direct):
Ac (0.5000, 0.0000, 0.6690)
Ac (0.0000, 0.5000, 0.3310)
Cd (0.5000, 0.5000, 0.0000)
Cd (0.0000, 0.0000, 0.0000)
As (0.0000, 0.5000, 0.8305)
As (0.5000, 0.0000, 0.1695)
S (0.0000, 0.0000, 0.5000)
S (0.5000, 0.5000, 0.5000)

Output
The energy relative to the elements, uncorrected is -426 kJ/mol of formula units. The volume comes out at 215 Å³/cell. The crystal system is tetragonal. Its symmetry is No. 129. The total DFT energy (no corrections) is -4.55 eV per atom.


Record 4
# AcCdSbAs

An optimized crystal structure of AcCdSbAs (PBE, Alexandria via LeMat-Bulk).

Cell lengths 5.3909, 5.3909, 5.3909 Å; angles 60.00, 60.00, 60.00 degrees
Positions (direct):
Sb (0.0000, 0.0000, 0.0000)
Ac (0.5000, 0.5000, 0.5000)
As (0.7500, 0.7500, 0.7500)
Cd (0.2500, 0.2500, 0.2500)

Output
The energy relative to the elements, uncorrected is -137 kJ/mol of formula units. The volume comes out at 111 Å³/cell. The crystal system is cubic. Its symmetry is No. 216. The total DFT energy (no corrections) is -3.80 eV per atom.


Record 5
# AcCeAs

An optimized crystal structure of AcCeAs (PBE, Alexandria via LeMat-Bulk).

Cell lengths 3.8835, 3.8835, 6.7879 Å; angles 106.62, 106.62, 90.00 degrees
Each line ends with the local moment (μB).
Positions (direct):
Ac (0.9256, 0.9256, 0.8511)  0.10
As (0.2665, 0.2665, 0.5331)  -0.01
Ce (0.6579, 0.6579, 0.3158)  0.89

Output
The volume comes out at 94 Å³/cell. The crystal system is tetragonal. Its symmetry is No. 107. The calculation puts the energy of formation at -653 meV/atom. The total DFT energy (no corrections) is -5.55 eV per atom.


Record 6
# AcCeAs4

An optimized crystal structure of AcCeAs4 (PBE, Alexandria via LeMat-Bulk).

Cell lengths 5.8548, 5.8548, 5.8548 Å; angles 60.00, 60.00, 60.00 degrees
Each line ends with the local moment (μB).
Positions (direct):
Ac (0.2500, 0.2500, 0.2500)  0.14
As (0.6260, 0.6260, 0.1220)  -0.01
As (0.6260, 0.1220, 0.6260)  -0.01
As (0.6260, 0.6260, 0.6260)  -0.01
As (0.1220, 0.6260, 0.6260)  -0.01
Ce (0.0000, 0.0000, 0.0000)  1.15

Output
The volume comes out at 142 Å³/cell. The crystal system is cubic. Its symmetry is No. 216. The calculation puts the energy of formation at -471 meV/atom. The total DFT energy (no corrections) is -5.24 eV per atom.


Record 7
# AcCe2As3

An optimized crystal structure of AcCe2As3 (PBE, Alexandria via LeMat-Bulk).

Cell lengths 4.3297, 6.1600, 7.5194 Å; angles 114.18, 106.73, 90.00 degrees
Each line ends with the local moment (μB).
Positions (direct):
Ac (0.0000, 0.5000, 0.0000)  0.01
Ce (0.6653, 0.1653, 0.3305)  0.70
Ce (0.3347, 0.8347, 0.6695)  0.70
As (0.3222, 0.3222, 0.6444)  -0.02
As (0.0000, 0.0000, 0.0000)  -0.03
As (0.6778, 0.6778, 0.3556)  -0.02

Output
The volume comes out at 174 Å³/cell. The crystal system is orthorhombic. Its symmetry is No. 71. The calculation puts the energy of formation at -1409 meV/atom. The total DFT energy (no corrections) is -6.40 eV per atom.


Record 8
# Ac3CeAs4

An optimized crystal structure of Ac3CeAs4 (PBE, Alexandria via LeMat-Bulk).

Cell lengths 4.4746, 7.7501, 7.7501 Å; angles 109.42, 90.00, 90.00 degrees
Each line ends with the local moment (μB).
Positions (direct):
Ac (0.0000, 0.0000, 0.5000)  0.00
Ac (0.5000, 0.5000, 0.5000)  0.00
Ac (0.0000, 0.5000, 0.0000)  0.00
Ce (0.5000, 0.0000, 0.0000)  0.71
As (0.0000, 0.2374, 0.2374)  -0.01
As (0.5000, 0.7571, 0.2429)  -0.01
As (0.0000, 0.7626, 0.7626)  -0.01
As (0.5000, 0.2429, 0.7571)  -0.01

Output
The volume comes out at 253 Å³/cell. The crystal system is orthorhombic. Its symmetry is No. 65. The calculation puts the energy of formation at -1447 meV/atom. The total DFT energy (no corrections) is -6.05 eV per atom.


Record 9
# AcCeAs

An optimized crystal structure of AcCeAs (PBE, Alexandria via LeMat-Bulk).

Cell lengths 6.9761, 4.1956, 4.1956 Å; angles 120.00, 90.00, 90.00 degrees
Each line ends with the local moment (μB).
Positions (direct):
Ac (0.7280, 0.6667, 0.3333)  0.14
As (0.0186, 0.0000, 0.0000)  -0.02
Ce (0.2534, 0.3333, 0.6667)  1.07

Output
The volume comes out at 106 Å³/cell. The crystal system is trigonal. Its symmetry is No. 156. The calculation puts the energy of formation at -737 meV/atom. The total DFT energy (no corrections) is -5.63 eV per atom.


Record 10
# AcCeAs

An optimized crystal structure of AcCeAs (PBE, Alexandria via LeMat-Bulk).

Cell lengths 5.1564, 5.1564, 5.1564 Å; angles 60.00, 60.00, 60.00 degrees
Each line ends with the local moment (μB).
Positions (direct):
Ac (0.0000, 0.0000, 0.0000)  0.10
As (0.2500, 0.2500, 0.2500)  -0.02
Ce (0.5000, 0.5000, 0.5000)  1.02

Output
The volume comes out at 97 Å³/cell. The crystal system is cubic. Its symmetry is No. 216. The calculation puts the energy of formation at -619 meV/atom. The total DFT energy (no corrections) is -5.52 eV per atom.


Record 11
# Ac4CeAs5

An optimized crystal structure of Ac4CeAs5 (PBE, Alexandria via LeMat-Bulk).

Cell lengths 4.5014, 4.5014, 16.1828 Å; angles 97.99, 97.99, 90.00 degrees
Each line ends with the local moment (μB).
Positions (direct):
Ac (0.4014, 0.4014, 0.8028)  0.00
Ac (0.8008, 0.8008, 0.6016)  0.00
Ac (0.1992, 0.1992, 0.3984)  0.00
Ac (0.5986, 0.5986, 0.1972)  0.00
Ce (0.0000, 0.0000, 0.0000)  0.77
As (0.0956, 0.0956, 0.1912)  -0.01
As (0.5000, 0.5000, 0.0000)  -0.02
As (0.9044, 0.9044, 0.8088)  -0.01
As (0.3005, 0.3005, 0.6010)  0.00
As (0.6995, 0.6995, 0.3990)  0.00

Output
The volume comes out at 322 Å³/cell. The crystal system is tetragonal. Its symmetry is No. 139. The calculation puts the energy of formation at -1447 meV/atom. The total DFT energy (no corrections) is -6.01 eV per atom.


Record 12
# Ac4CeAs6

An optimized crystal structure of Ac4CeAs6 (PBE, Alexandria via LeMat-Bulk).

Cell lengths 8.7374, 8.7374, 8.7374 Å; angles 92.56, 92.56, 87.44 degrees
Positions (direct):
Ac (0.3749, 0.1251, 0.2500)
Ac (0.8749, 0.2500, 0.3749)
Ac (0.2500, 0.6251, 0.1251)
Ac (0.2500, 0.2500, 0.7500)
Ac (0.7500, 0.7500, 0.2500)
Ac (0.7500, 0.3749, 0.8749)
Ac (0.1251, 0.7500, 0.6251)
Ac (0.6251, 0.8749, 0.7500)
Ce (0.5000, 0.5000, 0.5000)
Ce (0.0000, 0.0000, 0.0000)
As (0.6892, 0.0736, 0.0867)
As (0.0867, 0.3108, 0.0736)
As (0.5867, 0.4264, 0.1892)
As (0.9264, 0.0867, 0.6892)
As (0.5736, 0.1892, 0.5867)
As (0.1892, 0.4133, 0.4264)
As (0.8108, 0.5867, 0.5736)
As (0.4264, 0.8108, 0.4133)
As (0.0736, 0.9133, 0.3108)
As (0.4133, 0.5736, 0.8108)
As (0.9133, 0.6892, 0.9264)
As (0.3108, 0.9264, 0.9133)

Output
The volume comes out at 665 Å³/cell. The crystal system is trigonal. Its symmetry is No. 167. The calculation puts the energy of formation at -1222 meV/atom. The total DFT energy (no corrections) is -5.79 eV per atom.